1.
Computed, not measured: a relaxed structure of Y3CoSi2 at the PBE level of DFT.

## Properties
- Space-group type: Pnma (62)
- E: -6.918 eV/atom
- Size of the total moment: 0.00 Bohr magnetons per cell
- E_form (uncorrected): -67.0 kJ per mole of atoms

The structure in POSCAR format:
```
Y3CoSi2
1.0
4.102 0.000 0.000
0.000 11.181 0.000
0.000 0.000 11.376
Si Co Y
8 4 12
Direct
0.250 0.492 0.801
0.750 0.184 0.027
0.750 0.992 0.699
0.250 0.816 0.973
0.750 0.316 0.527
0.250 0.684 0.473
0.750 0.508 0.199
0.250 0.008 0.301
0.250 0.136 0.131
0.250 0.364 0.631
0.750 0.864 0.869
0.750 0.636 0.369
0.250 0.800 0.716
0.750 0.874 0.442
0.750 0.626 0.942
0.250 0.374 0.058
0.250 0.700 0.216
0.250 0.126 0.558
0.750 0.200 0.284
0.750 0.300 0.784
0.750 0.558 0.617
0.250 0.442 0.383
0.250 0.058 0.883
0.750 0.942 0.117
```

***

2.
Computed, not measured: a relaxed structure of ZnRh2Br at the PBE level of DFT.

## Properties
- Space-group type: Cm (8)
- E: -4.150 eV/atom
- Size of the total moment: 0.00 Bohr magnetons per cell
- E_form (uncorrected): 25.3 kJ per mole of atoms

The structure in POSCAR format:
```
ZnRh2Br
1.0
-2.395 -4.143 1.639
-2.262 -4.280 -1.466
3.257 -2.854 0.266
Br Zn Rh
1 1 2
Direct
0.244 0.244 0.173
0.494 0.494 0.579
0.999 0.999 0.070
0.763 0.763 0.678
```

***

3.
Computed, not measured: a relaxed structure of K2BePb at the PBE level of DFT.

## Properties
- Space-group type: Immm (71)
- Energy of formation: 54 kJ/mol of atoms
- E: -1.848 eV/atom
- Size of the total moment: 0.00 Bohr magnetons per cell

The structure in POSCAR format:
```
K2BePb
1.0
6.582 0.026 0.033
3.059 5.828 -0.033
-4.618 -3.260 3.371
K Be Pb
2 1 1
Direct
0.016 0.016 0.000
0.484 0.484 0.000
0.250 0.750 0.500
0.750 0.250 0.500
```